(1)
Here is an optimized crystal structure of Li2ZrCr from Alexandria via LeMat-Bulk. Energies are from PBE. Values from VASP.

The structure in Quantum ESPRESSO input format:
```
&SYSTEM
  ibrav = 0, nat = 4, ntyp = 3
/
ATOMIC_SPECIES
Li 6.94 Li.upf
Zr 91.22 Zr.upf
Cr 52.00 Cr.upf
CELL_PARAMETERS angstrom
2.738 0.000 0.000
0.000 2.738 0.000
0.000 0.000 9.355
ATOMIC_POSITIONS crystal
Li 0.000 0.000 0.000
Li 0.500 0.500 0.260
Zr 0.000 0.000 0.548
Cr 0.500 0.500 0.778
```

E_form ... 0.443 eV per atom
Excess energy over the best structure of this formula in the dataset ... 0.1305 eV/atom
Crystal system ... tetragonal



(2)
Here is an optimized crystal structure of TeIr2Au from Alexandria via LeMat-Bulk. Energies are from PBE. Values from VASP.

The structure in Quantum ESPRESSO input format:
```
&SYSTEM
  ibrav = 0, nat = 4, ntyp = 3
/
ATOMIC_SPECIES
Te 127.60 Te.upf
Ir 192.22 Ir.upf
Au 196.97 Au.upf
CELL_PARAMETERS angstrom
1.574 0.909 8.307
-1.574 0.909 8.307
0.000 -1.817 8.307
ATOMIC_POSITIONS crystal
Te 0.000 0.000 0.000
Ir 0.253 0.253 0.253
Ir 0.747 0.747 0.747
Au 0.500 0.500 0.500
```

Excess energy over the best structure of this formula in the dataset ... 0.2301 eV/atom
E_form (uncorrected) ... 0.52 eV/atom
Crystal system ... trigonal



(3)
Here is an optimized crystal structure of MnTc2Ru from Alexandria via LeMat-Bulk. Energies are from PBE. Values from VASP.

The structure in Quantum ESPRESSO input format:
```
&SYSTEM
  ibrav = 0, nat = 4, ntyp = 3
/
ATOMIC_SPECIES
Mn 54.94 Mn.upf
Tc 98.00 Tc.upf
Ru 101.07 Ru.upf
CELL_PARAMETERS angstrom
-1.544 2.106 4.321
1.544 -2.106 4.321
1.544 2.106 -4.321
ATOMIC_POSITIONS crystal
Mn 0.000 0.000 0.000
Tc 0.238 0.738 0.500
Tc 0.762 0.262 0.500
Ru 0.500 0.500 0.000
```

E_form ... 0.151 eV per atom
Excess energy over the best structure of this formula in the dataset ... 0.0948 eV/atom
Crystal system ... orthorhombic



(4)
Here is an optimized crystal structure of Pu3NpGa8 from Alexandria via LeMat-Bulk. Energies are from PBE. Values from VASP.

The structure in Quantum ESPRESSO input format:
```
&SYSTEM
  ibrav = 0, nat = 12, ntyp = 3
/
ATOMIC_SPECIES
Pu 244.00 Pu.upf
Np 237.00 Np.upf
Ga 69.72 Ga.upf
CELL_PARAMETERS angstrom
2.773 1.601 8.702
-2.773 1.601 8.702
0.000 -3.202 8.702
ATOMIC_POSITIONS crystal
Pu 0.000 0.000 0.000
Pu 0.117 0.117 0.117
Pu 0.611 0.611 0.611
Np 0.505 0.505 0.505
Ga 0.058 0.058 0.558
Ga 0.058 0.558 0.058
Ga 0.060 0.558 0.558
Ga 0.308 0.308 0.308
Ga 0.558 0.058 0.058
Ga 0.558 0.060 0.558
Ga 0.558 0.558 0.060
Ga 0.809 0.809 0.809
```

E_form ... -0.331 eV per atom
Crystal system ... trigonal



What did the fourth record say?
Here is an optimized crystal structure of Pu3NpGa8 from Alexandria via LeMat-Bulk. Energies are from PBE. Values from VASP.

The structure in Quantum ESPRESSO input format:
```
&SYSTEM
  ibrav = 0, nat = 12, ntyp = 3
/
ATOMIC_SPECIES
Pu 244.00 Pu.upf
Np 237.00 Np.upf
Ga 69.72 Ga.upf
CELL_PARAMETERS angstrom
2.773 1.601 8.702
-2.773 1.601 8.702
0.000 -3.202 8.702
ATOMIC_POSITIONS crystal
Pu 0.000 0.000 0.000
Pu 0.117 0.117 0.117
Pu 0.611 0.611 0.611
Np 0.505 0.505 0.505
Ga 0.058 0.058 0.558
Ga 0.058 0.558 0.058
Ga 0.060 0.558 0.558
Ga 0.308 0.308 0.308
Ga 0.558 0.058 0.058
Ga 0.558 0.060 0.558
Ga 0.558 0.558 0.060
Ga 0.809 0.809 0.809
```

E_form ... -0.331 eV per atom
Crystal system ... trigonal



Repeat the first record exactly.
Here is an optimized crystal structure of Li2ZrCr from Alexandria via LeMat-Bulk. Energies are from PBE. Values from VASP.

The structure in Quantum ESPRESSO input format:
```
&SYSTEM
  ibrav = 0, nat = 4, ntyp = 3
/
ATOMIC_SPECIES
Li 6.94 Li.upf
Zr 91.22 Zr.upf
Cr 52.00 Cr.upf
CELL_PARAMETERS angstrom
2.738 0.000 0.000
0.000 2.738 0.000
0.000 0.000 9.355
ATOMIC_POSITIONS crystal
Li 0.000 0.000 0.000
Li 0.500 0.500 0.260
Zr 0.000 0.000 0.548
Cr 0.500 0.500 0.778
```

E_form ... 0.443 eV per atom
Excess energy over the best structure of this formula in the dataset ... 0.1305 eV/atom
Crystal system ... tetragonal



Repeat the first record exactly.
Here is an optimized crystal structure of Li2ZrCr from Alexandria via LeMat-Bulk. Energies are from PBE. Values from VASP.

The structure in Quantum ESPRESSO input format:
```
&SYSTEM
  ibrav = 0, nat = 4, ntyp = 3
/
ATOMIC_SPECIES
Li 6.94 Li.upf
Zr 91.22 Zr.upf
Cr 52.00 Cr.upf
CELL_PARAMETERS angstrom
2.738 0.000 0.000
0.000 2.738 0.000
0.000 0.000 9.355
ATOMIC_POSITIONS crystal
Li 0.000 0.000 0.000
Li 0.500 0.500 0.260
Zr 0.000 0.000 0.548
Cr 0.500 0.500 0.778
```

E_form ... 0.443 eV per atom
Excess energy over the best structure of this formula in the dataset ... 0.1305 eV/atom
Crystal system ... tetragonal